No. 1
Tb3Ho3ErS8 | GGA-PBE | optimized geometry

Properties
DOS at the Fermi energy in states/eV/cell: 18.72
Calculated volume in Å³/atom: 22.30
Formation energy (no corrections) in eV/atom: -2.051
Size of the total moment in μB per formula unit: 0.00

Cell: 7.7854 7.7854 19.1150 Å, 90.00 90.00 120.00°
Space group R-3m (No. 166, hexagonal axes)
One atom of each set of equivalent atoms:
1 Tb 0.0000 0.5000 0.0000 [9 per cell]
2 Ho 0.0000 0.5000 0.5000 [9 per cell]
3 Er 0.0000 0.0000 0.5000 [3 per cell]
4 S 0.0000 0.0000 0.2487 [6 per cell]
5 S 0.9996 0.4998 0.2488 [18 per cell]

No. 2
Tb3Ho2ErS6 | GGA-PBE | optimized geometry

Properties
DOS at the Fermi energy in states/eV/cell: 9.73
Calculated volume in Å³/atom: 20.99
Formation energy (no corrections) in eV/atom: -1.993
Size of the total moment in μB per formula unit: 0.00

Cell: 6.738 11.722 6.763 Å, 90.00 109.45 90.00°
Space group C2/m (No. 12)
One atom of each set of equivalent atoms:
1 Tb 0.000 0.000 0.000 [2 per cell]
2 Tb 0.000 0.333 0.000 [4 per cell]
3 Ho 0.000 0.167 0.500 [4 per cell]
4 Er 0.000 0.500 0.500 [2 per cell]
5 S 0.248 0.334 0.745 [8 per cell]
6 S 0.250 0.000 0.746 [4 per cell]